# 1
A geometry-optimized K3Y3GeSe8 structure. Source: Alexandria via LeMat-Bulk, functional PBE.

Cell lengths 8.221, 8.223, 9.193 Å; angles 116.58, 90.00, 119.99 degrees
Element x y z (fractional)
1 K 0.000 0.000 0.000
2 K 0.000 0.500 0.000
3 K 0.500 0.500 0.000
4 Y 0.500 0.000 0.500
5 Y 0.500 0.500 0.500
6 Y 0.000 0.500 0.500
7 Ge 0.000 0.000 0.500
8 Se 0.265 0.530 0.295
9 Se 0.735 0.470 0.705
10 Se 0.781 0.562 0.307
11 Se 0.219 0.438 0.693
12 Se 0.781 0.026 0.307
13 Se 0.219 0.974 0.693
14 Se 0.245 0.026 0.307
15 Se 0.755 0.974 0.693

raw formation energy: -32.110 kcal/mol of atoms



# 2
A geometry-optimized MgNiAg2 structure. Source: Alexandria via LeMat-Bulk, functional PBE.

Cell lengths 4.948, 4.948, 4.777 Å; angles 77.01, 77.01, 34.96 degrees
Element x y z (fractional)
1 Ag 0.989 0.989 0.010
2 Ag 0.511 0.511 0.490
3 Mg 0.750 0.750 0.750
4 Ni 0.250 0.250 0.250

energy relative to the elements: 0.006 eV/atom